(1)
SiSnF3: relaxed, GGA-PBE.

Summary:
- V: 95.84 Å³ per cell
- VASP energy: -4.11 eV/atom
- Spin magnetization: 1.10 μB/cell

```
data_SiSnF3
_symmetry_space_group_name_H-M 'P m -3 m'
_symmetry_Int_Tables_number 221
_symmetry_space_group_name_Hall '-P 4 2 3'
_cell_length_a 4.576
_cell_length_b 4.576
_cell_length_c 4.576
_cell_angle_alpha 90.00
_cell_angle_beta 90.00
_cell_angle_gamma 90.00
loop_
_atom_site_label
_atom_site_type_symbol
_atom_site_fract_x
_atom_site_fract_y
_atom_site_fract_z
_atom_site_occupancy
Si1 Si 0.000 0.000 0.000 1
Sn1 Sn 0.500 0.500 0.500 1
F1 F 0.000 0.500 0.500 1
```

=====

(2)
SiSnF2: relaxed, GGA-PBE.

Summary:
- V: 252.86 Å³ per cell
- VASP energy: -4.41 eV/atom
- Spin magnetization: 0.00 μB/cell

```
data_SiSnF2
_symmetry_space_group_name_H-M 'I -4 2 d'
_symmetry_Int_Tables_number 122
_symmetry_space_group_name_Hall 'I -4 2bw'
_cell_length_a 3.976
_cell_length_b 3.976
_cell_length_c 15.994
_cell_angle_alpha 90.00
_cell_angle_beta 90.00
_cell_angle_gamma 90.00
loop_
_atom_site_label
_atom_site_type_symbol
_atom_site_fract_x
_atom_site_fract_y
_atom_site_fract_z
_atom_site_occupancy
Si1 Si 0.000 0.000 0.000 1
Sn1 Sn 0.000 0.000 0.500 1
F1 F 0.233 0.250 0.125 1
```

=====

(3)
SiSn3F: relaxed, GGA-PBE.

Summary:
- V: 121.39 Å³ per cell
- VASP energy: -3.92 eV/atom
- Spin magnetization: 0.00 μB/cell

```
data_SiSn3F
_symmetry_space_group_name_H-M 'P m -3 m'
_symmetry_Int_Tables_number 221
_symmetry_space_group_name_Hall '-P 4 2 3'
_cell_length_a 4.951
_cell_length_b 4.951
_cell_length_c 4.951
_cell_angle_alpha 90.00
_cell_angle_beta 90.00
_cell_angle_gamma 90.00
loop_
_atom_site_label
_atom_site_type_symbol
_atom_site_fract_x
_atom_site_fract_y
_atom_site_fract_z
_atom_site_occupancy
Si1 Si 0.000 0.000 0.000 1
Sn1 Sn 0.000 0.500 0.500 1
F1 F 0.500 0.500 0.500 1
```

=====

(4)
SiSnF3: relaxed, GGA-PBE.

Summary:
- V: 83.05 Å³ per cell
- VASP energy: -4.32 eV/atom
- Spin magnetization: 0.00 μB/cell

```
data_SiSnF3
_symmetry_space_group_name_H-M 'P m -3 m'
_symmetry_Int_Tables_number 221
_symmetry_space_group_name_Hall '-P 4 2 3'
_cell_length_a 4.363
_cell_length_b 4.363
_cell_length_c 4.363
_cell_angle_alpha 90.00
_cell_angle_beta 90.00
_cell_angle_gamma 90.00
loop_
_atom_site_label
_atom_site_type_symbol
_atom_site_fract_x
_atom_site_fract_y
_atom_site_fract_z
_atom_site_occupancy
Si1 Si 0.000 0.000 0.000 1
Sn1 Sn 0.500 0.500 0.500 1
F1 F 0.000 0.000 0.500 1
```

=====

(5)
SiSnF2: relaxed, GGA-PBE.

Summary:
- V: 256.08 Å³ per cell
- VASP energy: -3.99 eV/atom
- Spin magnetization: 0.00 μB/cell

```
data_SiSnF2
_symmetry_space_group_name_H-M 'F m -3 m'
_symmetry_Int_Tables_number 225
_symmetry_space_group_name_Hall '-F 4 2 3'
_cell_length_a 6.350
_cell_length_b 6.350
_cell_length_c 6.350
_cell_angle_alpha 90.00
_cell_angle_beta 90.00
_cell_angle_gamma 90.00
loop_
_atom_site_label
_atom_site_type_symbol
_atom_site_fract_x
_atom_site_fract_y
_atom_site_fract_z
_atom_site_occupancy
Si1 Si 0.000 0.000 0.000 1
Sn1 Sn 0.000 0.000 0.500 1
F1 F 0.250 0.250 0.250 1
```

=====

(6)
TlSi2SnF: relaxed, GGA-PBE.

Summary:
- V: 123.33 Å³ per cell
- VASP energy: -3.46 eV/atom
- Spin magnetization: 0.00 μB/cell

```
data_TlSi2SnF
_symmetry_space_group_name_H-M 'P 4/m m m'
_symmetry_Int_Tables_number 123
_symmetry_space_group_name_Hall '-P 4 2'
_cell_length_a 5.236
_cell_length_b 5.236
_cell_length_c 4.499
_cell_angle_alpha 90.00
_cell_angle_beta 90.00
_cell_angle_gamma 90.00
loop_
_atom_site_label
_atom_site_type_symbol
_atom_site_fract_x
_atom_site_fract_y
_atom_site_fract_z
_atom_site_occupancy
Tl1 Tl 0.000 0.000 0.000 1
Si1 Si 0.000 0.500 0.000 1
Sn1 Sn 0.500 0.500 0.500 1
F1 F 0.000 0.000 0.500 1
```